# 1
The following is a DFT calculation (PBE) of crystalline Ho2Mg2O5 at its relaxed geometry.

Cell lengths 3.8638, 3.8638, 7.1874 Å; angles 90.00, 90.00, 90.00 degrees
Closest atoms and distances in Å follow each position.
Positions (direct):
1 Ho 0.0000 0.0000 0.0000  8 O 2.40
2 Ho 0.0000 0.0000 0.5000  12 O 2.73-2.90
3 Mg 0.5000 0.5000 0.2372  5 O 1.89-1.95
4 Mg 0.5000 0.5000 0.7628  5 O 1.89-1.95
5 O 0.0000 0.5000 0.1984  2 Mg 1.95
6 O 0.0000 0.5000 0.8016  2 Mg 1.95
7 O 0.5000 0.0000 0.1984  2 Mg 1.95
8 O 0.5000 0.0000 0.8016  2 Mg 1.95
9 O 0.5000 0.5000 0.5000  2 Mg 1.89

## Properties
Symmetry ... No. 123
Crystal system ... tetragonal


# 2
The following is a DFT calculation (PBE) of crystalline Ho2MgO at its relaxed geometry.

Cell lengths 3.0508, 3.0508, 8.3446 Å; angles 90.00, 90.00, 90.00 degrees
Closest atoms and distances in Å follow each position.
Positions (direct):
1 Ho 0.0000 0.0000 0.1850  4 O 2.65
2 Ho 0.0000 0.0000 0.8150  4 O 2.65
3 Mg 0.5000 0.5000 0.5000  4 Mg 3.05, 8 Ho 3.40
4 O 0.5000 0.5000 0.0000  8 Ho 2.65

## Properties
Symmetry ... No. 123
Crystal system ... tetragonal
Polymorph energy (0 for the lowest one) ... 462.5 meV/atom


# 3
The following is a DFT calculation (PBE) of crystalline Ho2MgO at its relaxed geometry.

Cell lengths 3.4855, 3.4855, 24.1648 Å; angles 90.00, 90.00, 120.00 degrees
Closest atoms and distances in Å follow each position.
Positions (direct):
1 Ho 0.0000 0.0000 0.2215  3 O 2.41
2 Ho 0.0000 0.0000 0.7785  3 O 2.41
3 Ho 0.3333 0.6667 0.4451  3 O 2.41
4 Ho 0.3333 0.6667 0.8882  3 O 2.41
5 Ho 0.6667 0.3333 0.1118  3 O 2.41
6 Ho 0.6667 0.3333 0.5549  3 O 2.41
7 Mg 0.0000 0.0000 0.0000  6 Ho 3.37, 6 Mg 3.49
8 Mg 0.3333 0.6667 0.6667  6 Ho 3.37, 6 Mg 3.49
9 Mg 0.6667 0.3333 0.3333  6 Ho 3.37, 6 Mg 3.49
10 O 0.0000 0.0000 0.5000  6 Ho 2.41
11 O 0.3333 0.6667 0.1667  6 Ho 2.41
12 O 0.6667 0.3333 0.8333  6 Ho 2.41

## Properties
Symmetry ... No. 166
Crystal system ... trigonal
Polymorph energy (0 for the lowest one) ... 0.0 meV/atom


# 4
The following is a DFT calculation (PBE) of crystalline HoMgPaO6 at its relaxed geometry.

Cell lengths 5.5164, 5.5164, 4.7677 Å; angles 90.00, 90.00, 120.00 degrees
Closest atoms and distances in Å follow each position.
Positions (direct):
1 Ho 0.0000 0.0000 0.0000  6 O 2.25
2 Mg 0.3333 0.6667 0.0000  6 O 2.12
3 Pa 0.6667 0.3333 0.5000  6 O 2.18
4 O 0.0012 0.3523 0.2394  1 Mg 2.12, 1 Pa 2.18, 1 Ho 2.25
5 O 0.0012 0.6489 0.7606  1 Mg 2.12, 1 Pa 2.18, 1 Ho 2.25
6 O 0.3511 0.3523 0.7606  1 Mg 2.12, 1 Pa 2.18, 1 Ho 2.25
7 O 0.3511 0.9988 0.2394  1 Mg 2.12, 1 Pa 2.18, 1 Ho 2.25
8 O 0.6477 0.6489 0.2394  1 Mg 2.12, 1 Pa 2.18, 1 Ho 2.25
9 O 0.6477 0.9988 0.7606  1 Mg 2.12, 1 Pa 2.18, 1 Ho 2.25

## Properties
Symmetry ... No. 149
Crystal system ... trigonal


# 5
The following is a DFT calculation (PBE) of crystalline HoMgPdO4 at its relaxed geometry.

Cell lengths 6.3111, 6.3111, 6.3111 Å; angles 118.09, 116.67, 94.61 degrees
Closest atoms and distances in Å follow each position.
Positions (direct):
1 Ho 0.0000 0.0000 0.0000  6 O 2.25-2.26
2 Ho 0.5000 0.0000 0.5000  6 O 2.25-2.26
3 Mg 0.3570 0.6070 0.7500  4 O 1.99-2.09
4 Mg 0.6430 0.3930 0.2500  4 O 1.99-2.09
5 Pd 0.0000 0.0000 0.5000  6 O 2.07-2.24
6 Pd 0.0000 0.5000 0.0000  6 O 2.07-2.24
7 O 0.2198 0.7364 0.4834  1 Mg 2.09, 2 Pd 2.24, 1 Ho 2.26
8 O 0.2417 0.2255 0.4838  1 Mg 1.99, 1 Pd 2.07
9 O 0.2417 0.7579 0.0162  1 Mg 1.99, 1 Pd 2.07
10 O 0.2470 0.2636 0.9834  1 Mg 2.09, 2 Pd 2.24, 1 Ho 2.26
11 O 0.7530 0.7364 0.0166  1 Mg 2.09, 2 Pd 2.24, 1 Ho 2.26
12 O 0.7583 0.2421 0.9838  1 Mg 1.99, 1 Pd 2.07
13 O 0.7583 0.7745 0.5162  1 Mg 1.99, 1 Pd 2.07
14 O 0.7802 0.2636 0.5166  1 Mg 2.09, 2 Pd 2.24, 1 Ho 2.26

## Properties
Symmetry ... No. 74
Crystal system ... orthorhombic


# 6
The following is a DFT calculation (PBE) of crystalline Ho2MgPdO6 at its relaxed geometry.

Cell lengths 5.3282, 5.6811, 9.3347 Å; angles 90.00, 124.47, 90.00 degrees
Closest atoms and distances in Å follow each position.
Positions (direct):
1 Ho 0.2286 0.0733 0.2512  5 O 2.23-2.47
2 Ho 0.2286 0.4267 0.7512  5 O 2.23-2.47
3 Ho 0.7714 0.5733 0.2488  5 O 2.23-2.47
4 Ho 0.7714 0.9267 0.7488  5 O 2.23-2.47
5 Mg 0.5000 0.0000 0.0000  6 O 2.07
6 Mg 0.5000 0.5000 0.5000  6 O 2.07
7 Pd 0.0000 0.0000 0.5000  6 O 2.03-2.04
8 Pd 0.0000 0.5000 0.0000  6 O 2.03-2.04
9 O 0.1223 0.1972 0.9363  1 Pd 2.04, 1 Mg 2.07, 1 Ho 2.28
10 O 0.1223 0.3028 0.4363  1 Pd 2.04, 1 Mg 2.07, 1 Ho 2.28
11 O 0.2491 0.6928 0.9393  1 Pd 2.03, 1 Mg 2.07, 1 Ho 2.27
12 O 0.2491 0.8072 0.4393  1 Pd 2.03, 1 Mg 2.07, 1 Ho 2.27
13 O 0.3710 0.0489 0.7470  1 Pd 2.03, 1 Mg 2.07, 1 Ho 2.23
14 O 0.3710 0.4511 0.2470  1 Pd 2.03, 1 Mg 2.07, 1 Ho 2.23
15 O 0.6290 0.5489 0.7530  1 Pd 2.03, 1 Mg 2.07, 1 Ho 2.23
16 O 0.6290 0.9511 0.2530  1 Pd 2.03, 1 Mg 2.07, 1 Ho 2.23
17 O 0.7509 0.1928 0.5607  1 Pd 2.03, 1 Mg 2.07, 1 Ho 2.27
18 O 0.7509 0.3072 0.0607  1 Pd 2.03, 1 Mg 2.07, 1 Ho 2.27
19 O 0.8777 0.6972 0.5637  1 Pd 2.04, 1 Mg 2.07, 1 Ho 2.28
20 O 0.8777 0.8028 0.0637  1 Pd 2.04, 1 Mg 2.07, 1 Ho 2.28

## Properties
Symmetry ... No. 14
Crystal system ... monoclinic


# 7
The following is a DFT calculation (PBE) of crystalline HoMgPtO4 at its relaxed geometry.

Cell lengths 6.4206, 6.4206, 6.4206 Å; angles 120.96, 118.28, 90.68 degrees
Closest atoms and distances in Å follow each position.
Positions (direct):
1 Ho 0.0000 0.0000 0.0000  6 O 2.22-2.33
2 Ho 0.5000 0.0000 0.5000  6 O 2.22-2.33
3 Mg 0.3800 0.6300 0.7500  2 O 1.93
4 Mg 0.6200 0.3700 0.2500  2 O 1.93
5 Pt 0.0000 0.0000 0.5000  4 O 2.10
6 Pt 0.0000 0.5000 0.0000  4 O 2.10
7 O 0.2038 0.7439 0.4598  2 Pt 2.10, 1 Mg 2.17, 1 Ho 2.33
8 O 0.2159 0.2561 0.9598  2 Pt 2.10, 1 Mg 2.17, 1 Ho 2.33
9 O 0.2756 0.2586 0.4831  1 Mg 1.93
10 O 0.2756 0.7925 0.0169  1 Mg 1.93
11 O 0.7244 0.2075 0.9831  1 Mg 1.93
12 O 0.7244 0.7414 0.5169  1 Mg 1.93
13 O 0.7841 0.7439 0.0402  2 Pt 2.10, 1 Mg 2.17, 1 Ho 2.33
14 O 0.7962 0.2561 0.5402  2 Pt 2.10, 1 Mg 2.17, 1 Ho 2.33

## Properties
Symmetry ... No. 74
Crystal system ... orthorhombic


# 8
The following is a DFT calculation (PBE) of crystalline HoPuMgO6 at its relaxed geometry.

Cell lengths 5.3503, 5.3503, 9.7354 Å; angles 90.00, 90.00, 120.00 degrees
Closest atoms and distances in Å follow each position.
Positions (direct):
1 Ho 0.0000 0.0000 0.0000  6 O 2.29
2 Ho 0.0000 0.0000 0.5000  6 O 2.29
3 Pu 0.3333 0.6667 0.2500  6 O 2.02
4 Pu 0.6667 0.3333 0.7500  6 O 2.02
5 Mg 0.3333 0.6667 0.7500  6 O 2.11
6 Mg 0.6667 0.3333 0.2500  6 O 2.11
7 O 0.0135 0.3560 0.1367  1 Pu 2.02, 1 Mg 2.11
8 O 0.0135 0.6576 0.3633  1 Pu 2.02, 1 Mg 2.11
9 O 0.3424 0.3560 0.3633  1 Pu 2.02, 1 Mg 2.11
10 O 0.3424 0.9865 0.1367  1 Pu 2.02, 1 Mg 2.11
11 O 0.3560 0.0135 0.6367  1 Pu 2.02, 1 Mg 2.11
12 O 0.3560 0.3424 0.8633  1 Pu 2.02, 1 Mg 2.11
13 O 0.6440 0.6576 0.1367  1 Pu 2.02, 1 Mg 2.11
14 O 0.6440 0.9865 0.3633  1 Pu 2.02, 1 Mg 2.11
15 O 0.6576 0.0135 0.8633  1 Pu 2.02, 1 Mg 2.11
16 O 0.6576 0.6440 0.6367  1 Pu 2.02, 1 Mg 2.11
17 O 0.9865 0.3424 0.6367  1 Pu 2.02, 1 Mg 2.11
18 O 0.9865 0.6440 0.8633  1 Pu 2.02, 1 Mg 2.11

## Properties
Symmetry ... No. 163
Crystal system ... trigonal


# 9
The following is a DFT calculation (PBE) of crystalline Ho2PuMgO8 at its relaxed geometry.

Cell lengths 4.9627, 6.8914, 4.9680 Å; angles 90.00, 92.65, 90.00 degrees
Closest atoms and distances in Å follow each position.
Positions (direct):
1 Ho 0.0000 0.2351 0.0000  6 O 2.16-2.33
2 Ho 0.0000 0.7649 0.0000  6 O 2.16-2.33
3 Pu 0.5000 0.5000 0.5000  6 O 1.98-1.99
4 Mg 0.5000 0.0000 0.5000  2 O 2.00
5 O 0.2077 0.0000 0.2084  1 Mg 2.00, 2 Ho 2.16
6 O 0.2101 0.5000 0.2117  1 Pu 1.98
7 O 0.3186 0.2817 0.6824  1 Pu 1.99
8 O 0.3186 0.7183 0.6824  1 Pu 1.99
9 O 0.6814 0.2817 0.3176  1 Pu 1.99
10 O 0.6814 0.7183 0.3176  1 Pu 1.99
11 O 0.7899 0.5000 0.7883  1 Pu 1.98
12 O 0.7923 0.0000 0.7916  1 Mg 2.00, 2 Ho 2.16

## Properties
Symmetry ... No. 10
Crystal system ... monoclinic


# 10
The following is a DFT calculation (PBE) of crystalline RbHoMgO3 at its relaxed geometry.

Cell lengths 7.5941, 3.5717, 9.2629 Å; angles 90.00, 111.10, 90.00 degrees
Closest atoms and distances in Å follow each position.
Positions (direct):
1 Rb 0.2049 0.2500 0.1864  5 O 2.92-3.04
2 Rb 0.7951 0.7500 0.8136  5 O 2.92-3.04
3 Ho 0.3315 0.7500 0.8627  6 O 2.22-2.42
4 Ho 0.6685 0.2500 0.1373  6 O 2.22-2.42
5 Mg 0.0647 0.2500 0.6151  4 O 1.97-2.02
6 Mg 0.9353 0.7500 0.3849  4 O 1.97-2.02
7 O 0.1258 0.2500 0.8406  1 Mg 1.97
8 O 0.1574 0.7500 0.5864  3 Mg 1.97-2.02
9 O 0.4689 0.7500 0.1185  3 Ho 2.22-2.31
10 O 0.5311 0.2500 0.8815  3 Ho 2.22-2.31
11 O 0.8426 0.2500 0.4136  3 Mg 1.97-2.02
12 O 0.8742 0.7500 0.1594  1 Mg 1.97

## Properties
Symmetry ... No. 11
Crystal system ... monoclinic


# 11
The following is a DFT calculation (PBE) of crystalline HoMg2SbO6 at its relaxed geometry.

Cell lengths 5.7316, 5.7316, 5.7316 Å; angles 55.76, 55.76, 55.76 degrees
Closest atoms and distances in Å follow each position.
Positions (direct):
1 Ho 0.0000 0.0000 0.0000  6 O 2.19-2.36
2 Mg 0.2806 0.2806 0.2806  6 O 2.09-2.25
3 Mg 0.7878 0.7878 0.7878  6 O 2.04-2.23
4 Sb 0.4872 0.4872 0.4872  6 O 2.01-2.04
5 O 0.0978 0.6708 0.4145  1 Sb 2.04, 2 Mg 2.04-2.25, 1 Ho 2.19
6 O 0.2123 0.5786 0.8702  1 Sb 2.01, 2 Mg 2.09-2.23
7 O 0.4145 0.0978 0.6708  1 Sb 2.04, 2 Mg 2.04-2.25, 1 Ho 2.19
8 O 0.5786 0.8702 0.2123  1 Sb 2.01, 2 Mg 2.09-2.23
9 O 0.6708 0.4145 0.0978  1 Sb 2.04, 2 Mg 2.04-2.25, 1 Ho 2.19
10 O 0.8702 0.2123 0.5786  1 Sb 2.01, 2 Mg 2.09-2.23

## Properties
Symmetry ... No. 146
Crystal system ... trigonal


# 12
The following is a DFT calculation (PBE) of crystalline Ho2MgTiO6 at its relaxed geometry.

Cell lengths 5.3089, 5.6204, 9.3156 Å; angles 90.00, 124.42, 90.00 degrees
Closest atoms and distances in Å follow each position.
Positions (direct):
1 Ho 0.2286 0.0675 0.2478  5 O 2.22-2.48
2 Ho 0.2286 0.4325 0.7478  5 O 2.22-2.48
3 Ho 0.7714 0.5675 0.2522  5 O 2.22-2.48
4 Ho 0.7714 0.9325 0.7522  5 O 2.22-2.48
5 Mg 0.0000 0.0000 0.5000  6 O 2.08-2.10
6 Mg 0.0000 0.5000 0.0000  6 O 2.08-2.10
7 Ti 0.5000 0.0000 0.0000  6 O 1.96-2.00
8 Ti 0.5000 0.5000 0.5000  6 O 1.96-2.00
9 O 0.1427 0.1881 0.9427  1 Ti 1.96, 1 Mg 2.10
10 O 0.1427 0.3119 0.4427  1 Ti 1.96, 1 Mg 2.10
11 O 0.2507 0.7035 0.9354  1 Ti 2.00, 1 Mg 2.08
12 O 0.2507 0.7965 0.4354  1 Ti 2.00, 1 Mg 2.08
13 O 0.3755 0.0455 0.7573  1 Ti 1.98, 1 Mg 2.09
14 O 0.3755 0.4545 0.2573  1 Ti 1.98, 1 Mg 2.09
15 O 0.6245 0.5455 0.7427  1 Ti 1.98, 1 Mg 2.09
16 O 0.6245 0.9545 0.2427  1 Ti 1.98, 1 Mg 2.09
17 O 0.7493 0.2035 0.5646  1 Ti 2.00, 1 Mg 2.08
18 O 0.7493 0.2965 0.0646  1 Ti 2.00, 1 Mg 2.08
19 O 0.8573 0.6881 0.5573  1 Ti 1.96, 1 Mg 2.10
20 O 0.8573 0.8119 0.0573  1 Ti 1.96, 1 Mg 2.10

## Properties
Symmetry ... No. 14
Crystal system ... monoclinic


Number 1: formation energy without anion corrections -64.5 kcal/mol of atoms, spin magnetization 0.000 Bohr magnetons per cell. Number 2: formation energy without anion corrections -20.8 kcal/mol of atoms, spin magnetization 0.000 Bohr magnetons per cell. Number 3: formation energy without anion corrections -31.4 kcal/mol of atoms, spin magnetization 0.000 Bohr magnetons per cell. Number 4: formation energy without anion corrections -62.9 kcal/mol of atoms, spin magnetization 2.000 Bohr magnetons per cell. Number 5: formation energy without anion corrections -47.6 kcal/mol of atoms, spin magnetization 1.721 Bohr magnetons per cell. Number 6: formation energy without anion corrections -57.1 kcal/mol of atoms, spin magnetization 0.000 Bohr magnetons per cell. Number 7: formation energy without anion corrections -46.5 kcal/mol of atoms, spin magnetization 1.953 Bohr magnetons per cell. Number 8: formation energy without anion corrections -63.6 kcal/mol of atoms, spin magnetization 2.000 Bohr magnetons per cell. Number 9: formation energy without anion corrections -62.2 kcal/mol of atoms, spin magnetization 0.482 Bohr magnetons per cell. Number 10: formation energy without anion corrections -59.5 kcal/mol of atoms, spin magnetization 0.000 Bohr magnetons per cell. Number 11: formation energy without anion corrections -58.1 kcal/mol of atoms, spin magnetization 0.000 Bohr magnetons per cell. Number 12: formation energy without anion corrections -75.9 kcal/mol of atoms, spin magnetization 0.000 Bohr magnetons per cell.